# 1
Compound: Sr2AlTlCu
Source: Alexandria via LeMat-Bulk
Functional: PBE
Structure: optimized geometry

Geometry as POSCAR:
```
Sr2AlTlCu
1.0
5.8837 0.0000 0.0000
0.0000 5.8837 0.0000
0.0000 0.0000 4.6478
Sr Tl Al Cu
2 1 1 1
Cartesian
0.0000 2.9418 0.0000 Sr
2.9418 0.0000 0.0000 Sr
2.9418 2.9418 2.3239 Tl
0.0000 0.0000 2.3239 Al
0.0000 0.0000 0.0000 Cu
```

Results
- density of states at the Fermi level (states/eV/atom) = 0.66
- raw total energy (eV/atom) = -2.837

# 2
Compound: Sr2Al4ZnCu3
Source: Alexandria via LeMat-Bulk
Functional: PBE
Structure: optimized geometry

Geometry as POSCAR:
```
Sr2Al4ZnCu3
1.0
-0.6239 -3.3052 -2.7044
-0.8398 -2.5848 3.3527
-10.3260 2.4930 -0.6645
Sr Al Zn Cu
2 4 1 3
Cartesian
-2.8954 -1.0289 -1.5185 Sr
-8.1625 0.5769 1.1781 Sr
-0.7319 -2.9450 0.3241 Al
0.0000 0.0000 0.0000 Al
-6.8272 -0.0796 -1.7715 Al
-4.2307 -0.3724 1.4311 Al
-5.8949 -1.6985 -0.0081 Zn
-5.1630 1.2465 -0.3322 Cu
-9.3231 0.5230 -1.9321 Cu
-1.7348 -0.9750 1.5918 Cu
```

Results
- density of states at the Fermi level (states/eV/atom) = 0.33
- raw total energy (eV/atom) = -3.426

# 3
Compound: SrAlZn3Cu
Source: Alexandria via LeMat-Bulk
Functional: PBE
Structure: optimized geometry

Geometry as POSCAR:
```
SrAlZn3Cu
1.0
6.2470 0.0000 0.0000
0.0000 6.3068 0.0000
0.0000 -3.1534 6.1580
Sr Al Zn Cu
2 2 6 2
Cartesian
4.6852 0.0000 3.3818 Sr
1.5617 3.1534 2.7762 Sr
1.5617 0.0000 4.5161 Al
4.6852 3.1534 1.6419 Al
1.5617 0.0000 1.8955 Zn
0.0000 1.8295 0.0000 Zn
3.1235 4.4772 0.0000 Zn
3.1235 1.8295 0.0000 Zn
0.0000 4.4772 0.0000 Zn
4.6852 3.1534 4.2625 Zn
1.5617 3.1534 5.6829 Cu
4.6852 0.0000 0.4752 Cu
```

Results
- density of states at the Fermi level (states/eV/atom) = 0.33
- raw total energy (eV/atom) = -2.295

# 4
Compound: SrAlZnCu3
Source: Alexandria via LeMat-Bulk
Functional: PBE
Structure: optimized geometry

Geometry as POSCAR:
```
SrAlZnCu3
1.0
-2.7463 -4.2881 2.1027
3.5728 0.3257 5.3306
-6.0098 3.8110 -0.0774
Sr Al Zn Cu
2 2 2 6
Cartesian
-4.4449 -0.9719 3.0386 Sr
-0.7384 0.8204 4.3174 Sr
-2.8028 2.7628 5.5823 Al
-2.3806 -2.9143 1.7736 Al
-3.7476 1.8082 2.4014 Zn
-1.4357 -1.9596 4.9546 Zn
-1.9993 0.1631 1.3300 Cu
1.0954 0.0998 1.6343 Cu
1.1043 -1.9183 4.7477 Cu
-0.2778 -2.0442 2.6856 Cu
2.4775 0.2258 3.6963 Cu
-3.1840 -0.3146 6.0259 Cu
```

Results
- density of states at the Fermi level (states/eV/atom) = 0.56
- raw total energy (eV/atom) = -3.161

# 5
Compound: Sr2AlZn3Cu12
Source: Alexandria via LeMat-Bulk
Functional: PBE
Structure: optimized geometry

Geometry as POSCAR:
```
Sr2AlZn3Cu12
1.0
7.7587 -0.2354 -0.1670
3.6270 6.8628 -0.1670
3.6270 2.1112 6.5321
Sr Al Zn Cu
2 1 3 12
Cartesian
9.0185 5.2495 3.7234 Sr
5.9941 3.4891 2.4748 Sr
0.0000 0.0000 0.0000 Al
3.8793 -0.1177 -0.0835 Zn
1.8135 3.4314 -0.0835 Zn
1.8135 1.0556 3.2661 Zn
4.0970 2.3848 0.1195 Cu
11.1983 6.5183 1.9934 Cu
9.0400 7.7441 5.4928 Cu
2.8069 3.1175 2.2112 Cu
11.1983 4.0362 5.4928 Cu
4.0970 0.9011 2.2112 Cu
10.9157 6.3538 6.0787 Cu
3.8143 2.2203 4.2048 Cu
5.9726 0.9945 0.7054 Cu
12.2058 5.6211 3.9870 Cu
3.8143 4.7024 0.7054 Cu
10.9157 7.8375 3.9870 Cu
```

Results
- density of states at the Fermi level (states/eV/atom) = 0.31
- raw total energy (eV/atom) = -3.110

# 6
Compound: SrAlZnCu2
Source: Alexandria via LeMat-Bulk
Functional: PBE
Structure: optimized geometry

Geometry as POSCAR:
```
SrAlZnCu2
1.0
4.3273 0.0000 0.0000
0.0000 4.1632 0.0000
-2.1637 -2.0816 5.3982
Sr Al Zn Cu
1 1 1 2
Cartesian
0.0000 0.0000 4.8016 Sr
0.0000 2.0816 2.0454 Al
2.1637 2.0816 3.5088 Zn
2.1637 0.0000 2.0343 Cu
0.0000 0.0000 0.6967 Cu
```

Results
- density of states at the Fermi level (states/eV/atom) = 0.54
- raw total energy (eV/atom) = -3.133

# 7
Compound: Sr2AlZnCu2
Source: Alexandria via LeMat-Bulk
Functional: PBE
Structure: optimized geometry

Geometry as POSCAR:
```
Sr2AlZnCu2
1.0
6.0978 0.0000 0.0000
0.0000 6.1230 0.0000
-3.0489 -3.0615 7.7695
Sr Al Zn Cu
4 2 2 4
Cartesian
1.4805 0.0000 2.5396 Sr
1.5684 3.0615 5.2299 Sr
-1.5684 0.0000 5.2299 Sr
4.6173 3.0615 2.5396 Sr
3.0489 4.5923 0.0000 Al
3.0489 1.5308 0.0000 Al
0.0000 4.5923 0.0000 Zn
0.0000 1.5308 0.0000 Zn
4.5202 0.0000 1.3772 Cu
1.5776 3.0615 1.3772 Cu
1.4713 0.0000 6.3923 Cu
-1.4713 3.0615 6.3923 Cu
```

Results
- density of states at the Fermi level (states/eV/atom) = 0.66
- raw total energy (eV/atom) = -2.923

# 8
Compound: TaAl2Cu2
Source: Alexandria via LeMat-Bulk
Functional: PBE
Structure: optimized geometry

Geometry as POSCAR:
```
TaAl2Cu2
1.0
7.1874 0.0000 0.0000
0.0000 7.1874 0.0000
0.0000 0.0000 2.7917
Al Cu Ta
4 4 2
Cartesian
1.2596 4.8534 1.3958 Al
4.8534 5.9278 1.3958 Al
5.9278 2.3341 1.3958 Al
2.3341 1.2596 1.3958 Al
2.7133 6.3070 0.0000 Cu
6.3070 4.4741 0.0000 Cu
4.4741 0.8804 0.0000 Cu
0.8804 2.7133 0.0000 Cu
0.0000 0.0000 0.0000 Ta
3.5937 3.5937 0.0000 Ta
```

Results
- density of states at the Fermi level (states/eV/atom) = 0.42
- raw total energy (eV/atom) = -5.652